Entry 1:
## B5C (PBE-GGA)

Data for crystalline B5C at its relaxed geometry.

- E_tot: -6.808 eV per atom

Unit cell a=8.4324 b=2.8050 c=7.5652 alpha=90.00 beta=109.99 gamma=90.00
With the nearest neighbours (Å) after each atom.
Space group C2/m (No. 12)
Inequivalent atoms, fractional coordinates:
B 0.0623 0.0000 0.2511 (multiplicity 4)  1 C 1.66, 3 B 1.67-1.83
B 0.0917 0.5000 0.1099 (multiplicity 4)  3 B 1.63-1.80
B 0.0926 0.5000 0.8649 (multiplicity 4)  2 B 1.63-1.64
B 0.1699 0.5000 0.5758 (multiplicity 4)  2 C 1.62, 1 B 1.72
B 0.2319 0.0000 0.1843 (multiplicity 4)  5 B 1.64-1.80
C 0.0908 0.0000 0.4792 (multiplicity 4)  3 B 1.62-1.66, 1 C 1.67


Entry 2:
## Li3SbPd2 (PBE-GGA)

Data for crystalline Li3SbPd2 at its relaxed geometry.

- Raw formation energy: -0.5606 eV/atom
- E_tot: -3.935 eV per atom

Unit cell a=6.3087 b=6.3260 c=9.9156 alpha=90.00 beta=108.52 gamma=90.00
With the nearest neighbours (Å) after each atom.
Space group C2/c (No. 15)
Inequivalent atoms, fractional coordinates:
Li 0.0000 0.1260 0.2500 (multiplicity 4)  4 Pd 2.69-2.70, 4 Li 2.75
Li 0.1643 0.1247 0.5796 (multiplicity 8)  4 Li 2.68-2.75, 2 Pd 2.74, 2 Sb 2.75
Sb 0.0000 0.3751 0.7500 (multiplicity 4)  4 Pd 2.70, 4 Li 2.75
Pd 0.1700 0.3753 0.0894 (multiplicity 8)  4 Li 2.69-2.74, 2 Sb 2.70, 2 Pd 2.79-2.80


Entry 3:
## CaGa4Ag (PBE-GGA)

Data for crystalline CaGa4Ag at its relaxed geometry.

- E_tot: -2.989 eV per atom

Unit cell a=6.1936 b=6.5522 c=6.7924 alpha=83.14 beta=85.54 gamma=72.27
With the nearest neighbours (Å) after each atom.
Space group P-1 (No. 2)
Inequivalent atoms, fractional coordinates:
Ca 0.1328 0.4262 0.2535 (multiplicity 2)  8 Ga 3.18-3.41, 2 Ag 3.37-3.55
Ga 0.1677 0.8317 0.9209 (multiplicity 2)  1 Ag 2.73, 5 Ga 2.79-3.01
Ga 0.3313 0.1085 0.6380 (multiplicity 2)  2 Ag 2.63-2.68, 5 Ga 2.67-2.86
Ga 0.3706 0.6921 0.5242 (multiplicity 2)  1 Ag 2.55, 5 Ga 2.58-2.86
Ga 0.4289 0.4083 0.8485 (multiplicity 2)  1 Ag 2.67, 6 Ga 2.68-2.97
Ag 0.0000 0.0000 0.5000 (multiplicity 1)  4 Ga 2.55-2.63
Ag 0.5000 0.0000 0.0000 (multiplicity 1)  6 Ga 2.67-2.73


Entry 4:
## AsPbAu2 (PBE-GGA)

Data for crystalline AsPbAu2 at its relaxed geometry.

- E_tot: -3.526 eV per atom

Unit cell a=7.0301 b=7.0301 c=7.0301 alpha=90.00 beta=90.00 gamma=90.00
With the nearest neighbours (Å) after each atom.
Space group F-43m (No. 216)
Inequivalent atoms, fractional coordinates:
As 0.0000 0.0000 0.0000 (multiplicity 4)  4 Pb 3.04, 4 Au 3.04
Pb 0.2500 0.2500 0.2500 (multiplicity 4)  4 As 3.04, 4 Au 3.04
Au 0.0000 0.0000 0.5000 (multiplicity 4)  4 Pb 3.04, 4 Au 3.04
Au 0.2500 0.2500 0.7500 (multiplicity 4)  4 As 3.04, 4 Au 3.04


Entry 5:
## Pr3NdSn2 (PBE-GGA)

Data for crystalline Pr3NdSn2 at its relaxed geometry.

- E_tot: -5.091 eV per atom

Unit cell a=4.6928 b=4.6928 c=8.8903 alpha=90.00 beta=90.00 gamma=90.00
With the nearest neighbours (Å) after each atom.
Space group P-4m2 (No. 115)
Inequivalent atoms, fractional coordinates:
Pr 0.0000 0.0000 0.0000 (multiplicity 1)  4 Nd 3.32, 4 Sn 3.41
Pr 0.0000 0.5000 0.6480 (multiplicity 2)  5 Sn 3.28-3.38
Nd 0.5000 0.5000 0.0000 (multiplicity 1)  4 Pr 3.32, 4 Sn 3.41
Sn 0.0000 0.5000 0.2785 (multiplicity 2)  7 Pr 3.28-3.41, 2 Nd 3.41


Entry 6:
## CuOsBr2 (PBE-GGA)

Data for crystalline CuOsBr2 at its relaxed geometry.

- Raw formation energy: 0.6760 eV/atom
- E_tot: -3.992 eV per atom

Unit cell a=5.0114 b=3.8180 c=5.2141 alpha=90.00 beta=101.36 gamma=90.00
With the nearest neighbours (Å) after each atom.
Space group P2/m (No. 10)
Inequivalent atoms, fractional coordinates:
Cu 0.0000 0.0000 0.0000 (multiplicity 1)  2 Os 2.51
Os 0.5000 0.0000 0.0000 (multiplicity 1)  4 Br 2.46, 2 Cu 2.51
Br 0.3141 0.5000 0.7237 (multiplicity 2)  2 Os 2.46


Entry 7:
## RbSc3In (PBE-GGA)

Data for crystalline RbSc3In at its relaxed geometry.

- E_tot: -3.214 eV per atom

Unit cell a=5.1059 b=5.1059 c=5.1059 alpha=90.00 beta=90.00 gamma=90.00
With the nearest neighbours (Å) after each atom.
Space group Pm-3m (No. 221)
Inequivalent atoms, fractional coordinates:
Rb 0.0000 0.0000 0.0000 (multiplicity 1)  6 Sc 2.55
Sc 0.0000 0.0000 0.5000 (multiplicity 3)  2 Rb 2.55
In 0.5000 0.5000 0.5000 (multiplicity 1)  12 Sc 3.61


Entry 8:
## Ac2BeInAu6 (PBE-GGA)

Data for crystalline Ac2BeInAu6 at its relaxed geometry.

- E_tot: -3.957 eV per atom

Unit cell a=6.5333 b=6.5628 c=7.3168 alpha=115.61 beta=90.08 gamma=119.64
With the nearest neighbours (Å) after each atom.
Space group P-1 (No. 2)
Inequivalent atoms, fractional coordinates:
Ac 0.2331 0.4665 0.1821 (multiplicity 2)  9 Au 3.35-3.52
Be 0.0000 0.0000 0.5000 (multiplicity 1)  6 Au 2.29-2.30
In 0.5000 0.0000 0.0000 (multiplicity 1)  6 Au 2.74-2.76
Au 0.2201 0.9059 0.6566 (multiplicity 2)  1 Be 2.29
Au 0.2322 0.4626 0.7002 (multiplicity 2)  1 Be 2.29
Au 0.3149 0.0926 0.3443 (multiplicity 2)  1 Be 2.30


Entry 9:
## AcMg5Au2 (PBE-GGA)

Data for crystalline AcMg5Au2 at its relaxed geometry.

- E_tot: -2.800 eV per atom

Unit cell a=4.4205 b=8.2701 c=10.5312 alpha=90.00 beta=90.00 gamma=90.00
With the nearest neighbours (Å) after each atom.
Space group Immm (No. 71)
Inequivalent atoms, fractional coordinates:
Ac 0.0000 0.0000 0.0000 (multiplicity 2)  4 Au 3.37
Mg 0.0000 0.1852 0.3423 (multiplicity 8)  3 Au 2.75-2.89, 1 Mg 3.06
Mg 0.0000 0.5000 0.0000 (multiplicity 2)  2 Au 2.72
Au 0.0000 0.5000 0.2585 (multiplicity 4)  7 Mg 2.72-2.89


Entry 10:
## Tb4DyIr2 (PBE-GGA)

Data for crystalline Tb4DyIr2 at its relaxed geometry.

- E_tot: -6.350 eV per atom

Unit cell a=7.8690 b=6.3707 c=7.9124 alpha=90.00 beta=112.75 gamma=90.00
With the nearest neighbours (Å) after each atom.
Space group P2_1/m (No. 11)
Inequivalent atoms, fractional coordinates:
Tb 0.0152 0.2500 0.3790 (multiplicity 2)  2 Ir 2.73-2.85
Tb 0.2476 0.7500 0.3344 (multiplicity 2)  2 Ir 2.77-2.89
Tb 0.4148 0.0032 0.7630 (multiplicity 4)  4 Ir 3.00-3.12, 2 Tb 3.14-3.23
Dy 0.1564 0.2500 0.0294 (multiplicity 2)  1 Ir 2.82
Ir 0.2554 0.7500 0.9870 (multiplicity 2)  6 Tb 2.77-3.02
Ir 0.3730 0.2500 0.4087 (multiplicity 2)  4 Tb 2.73-3.00, 1 Dy 2.82


Entry 11:
## Y2ScIn2Rh5 (PBE-GGA)

Data for crystalline Y2ScIn2Rh5 at its relaxed geometry.

- E_tot: -6.703 eV per atom

Unit cell a=10.3457 b=10.3457 c=3.5997 alpha=90.00 beta=90.00 gamma=90.00
With the nearest neighbours (Å) after each atom.
Space group P4/mbm (No. 127)
Inequivalent atoms, fractional coordinates:
Y 0.1670 0.3330 0.0000 (multiplicity 4)  3 In 2.94-3.12, 6 Rh 3.03-3.24
Sc 0.0000 0.0000 0.0000 (multiplicity 2)  8 Rh 2.77
In 0.1321 0.6321 0.0000 (multiplicity 4)  6 Rh 2.64-2.66, 1 Y 2.94
Rh 0.0000 0.5000 0.5000 (multiplicity 2)  4 In 2.64
Rh 0.0542 0.8040 0.5000 (multiplicity 8)  2 In 2.66, 2 Sc 2.77


Entry 12:
## LaMoS2Cl (PBE-GGA)

Data for crystalline LaMoS2Cl at its relaxed geometry.

- Raw formation energy: -0.0744 eV/atom
- E_tot: -5.246 eV per atom

Unit cell a=5.5451 b=5.5451 c=5.3790 alpha=90.00 beta=90.00 gamma=90.00
With the nearest neighbours (Å) after each atom.
Space group P4/mmm (No. 123)
Inequivalent atoms, fractional coordinates:
La 0.0000 0.0000 0.0000 (multiplicity 1)  2 Cl 2.69, 4 S 2.77
Mo 0.5000 0.5000 0.5000 (multiplicity 1)  8 S 3.86, 4 Cl 3.92
S 0.0000 0.5000 0.0000 (multiplicity 2)  2 La 2.77
Cl 0.0000 0.0000 0.5000 (multiplicity 1)  2 La 2.69